VASP calculation (PBE-GGA) on CuRu2 after structural relaxation.

Space group   No. 160
Crystal system   trigonal
Raw total energy   -66.36 eV/cell

a b c (Å): 2.704 2.704 19.378
angles (deg): 90.00 90.00 120.00
Fractional coordinates of all 9 atoms:
Ru 0.000 0.000 0.597
Ru 0.333 0.667 0.264
Ru 0.667 0.333 0.930
Ru 0.000 0.000 0.824
Ru 0.333 0.667 0.491
Ru 0.667 0.333 0.158
Cu 0.000 0.000 0.378
Cu 0.333 0.667 0.045
Cu 0.667 0.333 0.712